This record from Alexandria via LeMat-Bulk describes an optimized crystal structure of KYRe2O8. The functional is GGA-PBE.

abc: 6.019 6.019 7.597
angles: 90.00 90.00 120.00
Last column: magnetic moment on the atom in μB.
Fractional coordinates of all 12 atoms:
K: 0.000 0.000 0.000  0.00
Y: 0.000 0.000 0.500  0.11
Re: 0.667 0.333 0.235  0.63
Re: 0.333 0.667 0.765  0.63
O: 0.333 0.667 0.997  0.07
O: 0.340 0.171 0.316  0.04
O: 0.829 0.170 0.316  0.04
O: 0.667 0.333 0.003  0.07
O: 0.171 0.830 0.684  0.04
O: 0.660 0.829 0.684  0.04
O: 0.170 0.340 0.684  0.04
O: 0.830 0.660 0.316  0.04

Values from the calculation:
space group: P-3m1, No. 164
E_form (uncorrected): -1996.8 meV per atom
V: 19.864 Å³ per atom
DFT total energy: -0.589 Ry/atom
DOS(E_F): 0.52 states/eV per atom


This record from Alexandria via LeMat-Bulk describes an optimized crystal structure of K3YRe2O9. The functional is GGA-PBE.

abc: 5.765 5.765 7.136
angles: 90.00 90.00 120.00
Fractional coordinates of all 15 atoms:
K: 0.333 0.667 0.669
K: 0.000 0.000 0.000
K: 0.667 0.333 0.331
Y: 0.000 0.000 0.500
Re: 0.333 0.667 0.158
Re: 0.667 0.333 0.842
O: 0.821 0.179 0.691
O: 0.821 0.643 0.691
O: 0.357 0.179 0.691
O: 0.643 0.821 0.309
O: 0.179 0.357 0.309
O: 0.179 0.821 0.309
O: 0.500 0.000 0.000
O: 0.000 0.500 0.000
O: 0.500 0.500 0.000

Values from the calculation:
space group: P-3m1, No. 164
E_form (uncorrected): -2042.6 meV per atom
V: 13.694 Å³ per atom
DFT total energy: -0.539 Ry/atom
DOS(E_F): 0.37 states/eV per atom


This record from Alexandria via LeMat-Bulk describes an optimized crystal structure of KYRe2O. The functional is GGA-PBE.

abc: 5.892 4.314 5.892
angles: 90.00 90.00 90.00
Last column: magnetic moment on the atom in μB.
Fractional coordinates of all 5 atoms:
Y: 0.000 0.000 0.000  -0.08
Re: 0.000 0.000 0.500  3.07
Re: 0.500 0.000 0.000  3.45
K: 0.500 0.500 0.500  0.01
O: 0.000 0.500 0.000  0.19

Values from the calculation:
space group: P4/mmm, No. 123
E_form (uncorrected): 1496.1 meV per atom
V: 29.954 Å³ per atom
DFT total energy: -0.440 Ry/atom
DOS(E_F): 0.71 states/eV per atom


This record from Alexandria via LeMat-Bulk describes an optimized crystal structure of K3Y3ReO8. The functional is GGA-PBE.

abc: 6.798 6.798 7.411
angles: 117.31 90.00 120.00
Last column: magnetic moment on the atom in μB.
Fractional coordinates of all 15 atoms:
K: 0.000 0.000 0.000  0.00
K: 0.000 0.500 0.000  0.00
K: 0.500 0.500 0.000  0.00
Y: 0.500 0.000 0.500  0.02
Y: 0.500 0.500 0.500  0.02
Y: 0.000 0.500 0.500  0.02
Re: 0.000 0.000 0.500  2.22
O: 0.272 0.545 0.317  0.00
O: 0.728 0.455 0.683  0.00
O: 0.789 0.578 0.326  0.07
O: 0.211 0.422 0.674  0.07
O: 0.789 0.038 0.326  0.07
O: 0.211 0.962 0.674  0.07
O: 0.249 0.038 0.326  0.07
O: 0.751 0.962 0.674  0.07

Values from the calculation:
space group: R-3m, No. 166
E_form (uncorrected): -2442.6 meV per atom
V: 16.772 Å³ per atom
DFT total energy: -0.546 Ry/atom


This record from Alexandria via LeMat-Bulk describes an optimized crystal structure of K3ZnRe2O9. The functional is GGA-PBE.

abc: 5.640 5.640 6.963
angles: 90.00 90.00 120.00
Fractional coordinates of all 15 atoms:
K: 0.333 0.667 0.663
K: 0.000 0.000 0.000
K: 0.667 0.333 0.337
Zn: 0.000 0.000 0.500
Re: 0.333 0.667 0.172
Re: 0.667 0.333 0.828
O: 0.825 0.175 0.684
O: 0.825 0.651 0.684
O: 0.349 0.175 0.684
O: 0.651 0.825 0.316
O: 0.175 0.349 0.316
O: 0.175 0.825 0.316
O: 0.500 0.000 0.000
O: 0.000 0.500 0.000
O: 0.500 0.500 0.000

Values from the calculation:
space group: P-3m1, No. 164
E_form (uncorrected): -1657.1 meV per atom
V: 12.790 Å³ per atom
DFT total energy: -0.485 Ry/atom
DOS(E_F): 0.30 states/eV per atom


This record from Alexandria via LeMat-Bulk describes an optimized crystal structure of KZn2ReO6. The functional is GGA-PBE.

abc: 6.856 7.423 7.423
angles: 93.66 72.44 72.44
Fractional coordinates of all 20 atoms:
K: 0.250 0.817 0.183
K: 0.750 0.183 0.817
Zn: 0.301 0.645 0.600
Zn: 0.199 0.400 0.355
Zn: 0.699 0.355 0.400
Zn: 0.801 0.600 0.645
Re: 0.250 0.173 0.827
Re: 0.750 0.827 0.173
O: 0.181 0.964 0.806
O: 0.319 0.194 0.036
O: 0.819 0.036 0.194
O: 0.681 0.806 0.964
O: 0.525 0.839 0.370
O: 0.975 0.630 0.161
O: 0.475 0.161 0.630
O: 0.025 0.370 0.839
O: 0.038 0.687 0.551
O: 0.462 0.449 0.313
O: 0.962 0.313 0.449
O: 0.538 0.551 0.687

Values from the calculation:
space group: C2/c, No. 15
E_form (uncorrected): -1470.4 meV per atom
V: 16.915 Å³ per atom
DFT total energy: -0.445 Ry/atom
DOS(E_F): 0.00 states/eV per atom


This record from Alexandria via LeMat-Bulk describes an optimized crystal structure of K2ZrRe3O12. The functional is GGA-PBE.

abc: 7.465 7.465 7.465
angles: 58.98 58.98 58.98
Fractional coordinates of all 18 atoms:
K: 0.607 0.607 0.607
K: 0.393 0.393 0.393
Zr: 0.000 0.000 0.000
Re: 0.500 0.000 0.000
Re: 0.000 0.500 0.000
Re: 0.000 0.000 0.500
O: 0.309 0.309 0.929
O: 0.934 0.934 0.334
O: 0.334 0.934 0.934
O: 0.929 0.309 0.309
O: 0.934 0.334 0.934
O: 0.309 0.929 0.309
O: 0.691 0.691 0.071
O: 0.066 0.066 0.666
O: 0.666 0.066 0.066
O: 0.071 0.691 0.691
O: 0.066 0.666 0.066
O: 0.691 0.071 0.691

Values from the calculation:
space group: R-3m, No. 166
E_form (uncorrected): -1904.3 meV per atom
V: 15.963 Å³ per atom
DFT total energy: -0.579 Ry/atom
DOS(E_F): 0.54 states/eV per atom


This record from Alexandria via LeMat-Bulk describes an optimized crystal structure of K2ZrReO6. The functional is GGA-PBE.

abc: 4.102 5.761 5.761
angles: 90.00 90.00 90.00
Last column: magnetic moment on the atom in μB.
Fractional coordinates of all 10 atoms:
K: 0.141 0.500 0.000  0.00
K: 0.141 0.000 0.500  0.00
Zr: 0.651 0.500 0.500  0.03
Re: 0.617 0.000 0.000  0.33
O: 0.647 0.235 0.235  0.02
O: 0.647 0.235 0.765  0.02
O: 0.149 0.500 0.500  0.01
O: 0.160 0.000 0.000  0.01
O: 0.647 0.765 0.765  0.02
O: 0.647 0.765 0.235  0.02

Values from the calculation:
space group: P4mm, No. 99
E_form (uncorrected): -2191.7 meV per atom
V: 13.615 Å³ per atom
DFT total energy: -0.550 Ry/atom
DOS(E_F): 0.39 states/eV per atom


This record from Alexandria via LeMat-Bulk describes an optimized crystal structure of K5Rh2O6. The functional is GGA-PBE.

abc: 3.771 9.976 13.989
angles: 90.00 90.00 90.00
Fractional coordinates of all 26 atoms:
K: 0.500 0.343 0.537
K: 0.500 0.657 0.463
K: 0.500 0.843 0.963
K: 0.500 0.157 0.037
K: 0.500 0.563 0.232
K: 0.500 0.437 0.768
K: 0.500 0.063 0.268
K: 0.500 0.937 0.732
K: 0.500 0.500 0.000
K: 0.500 0.000 0.500
Rh: 0.000 0.329 0.351
Rh: 0.000 0.671 0.649
Rh: 0.000 0.829 0.149
Rh: 0.000 0.171 0.851
O: 0.000 0.163 0.424
O: 0.000 0.837 0.576
O: 0.000 0.663 0.076
O: 0.000 0.337 0.924
O: 0.500 0.318 0.310
O: 0.500 0.682 0.690
O: 0.500 0.818 0.190
O: 0.500 0.182 0.810
O: 0.000 0.520 0.366
O: 0.000 0.480 0.634
O: 0.000 0.020 0.134
O: 0.000 0.980 0.866

Values from the calculation:
space group: Pbam, No. 55
E_form (uncorrected): -975.7 meV per atom
V: 20.241 Å³ per atom
DFT total energy: -0.354 Ry/atom
DOS(E_F): 0.52 states/eV per atom


This record from Alexandria via LeMat-Bulk describes an optimized crystal structure of K3RhO4. The functional is GGA-PBE.

abc: 8.016 8.711 8.832
angles: 90.00 90.00 90.00
Fractional coordinates of all 32 atoms:
K: 0.332 0.517 0.750
K: 0.832 0.983 0.750
K: 0.668 0.483 0.250
K: 0.168 0.017 0.250
K: 0.453 0.775 0.031
K: 0.953 0.725 0.469
K: 0.547 0.225 0.531
K: 0.047 0.275 0.969
K: 0.547 0.225 0.969
K: 0.047 0.275 0.531
K: 0.453 0.775 0.469
K: 0.953 0.725 0.031
Rh: 0.279 0.005 0.750
Rh: 0.779 0.495 0.750
Rh: 0.721 0.995 0.250
Rh: 0.221 0.505 0.250
O: 0.168 0.960 0.571
O: 0.668 0.540 0.929
O: 0.832 0.040 0.071
O: 0.332 0.460 0.429
O: 0.832 0.040 0.429
O: 0.332 0.460 0.071
O: 0.168 0.960 0.929
O: 0.668 0.540 0.571
O: 0.299 0.222 0.750
O: 0.799 0.278 0.750
O: 0.701 0.778 0.250
O: 0.201 0.722 0.250
O: 0.500 0.934 0.750
O: 0.000 0.566 0.750
O: 0.500 0.066 0.250
O: 0.000 0.434 0.250

Values from the calculation:
space group: Pnma, No. 62
E_form (uncorrected): -1104.1 meV per atom
V: 19.274 Å³ per atom
DFT total energy: -0.361 Ry/atom


This record from Alexandria via LeMat-Bulk describes an optimized crystal structure of K3RhO3. The functional is GGA-PBE.

abc: 6.473 6.473 7.690
angles: 90.29 90.29 106.22
Last column: magnetic moment on the atom in μB.
Fractional coordinates of all 14 atoms:
K: 0.667 0.667 0.745  0.00
K: 0.192 0.808 0.500  0.00
K: 0.808 0.192 0.500  0.00
K: 0.807 0.193 0.000  0.00
K: 0.193 0.807 0.000  0.00
K: 0.333 0.333 0.255  0.00
Rh: 0.756 0.756 0.250  0.07
Rh: 0.244 0.244 0.750  0.07
O: 0.003 0.003 0.751  0.00
O: 0.796 0.483 0.253  0.02
O: 0.483 0.796 0.253  0.02
O: 0.517 0.204 0.747  0.02
O: 0.204 0.517 0.747  0.02
O: 0.997 0.997 0.249  0.00

Values from the calculation:
space group: C2/m, No. 12
E_form (uncorrected): -1075.2 meV per atom
V: 22.096 Å³ per atom
DFT total energy: -0.347 Ry/atom


This record from Alexandria via LeMat-Bulk describes an optimized crystal structure of K4Rh2O5. The functional is GGA-PBE.

abc: 6.032 6.032 7.673
angles: 82.91 82.91 67.20
Last column: magnetic moment on the atom in μB.
Fractional coordinates of all 11 atoms:
K: 0.986 0.986 0.993  0.00
K: 0.988 0.988 0.498  0.00
K: 0.311 0.311 0.196  0.00
K: 0.654 0.654 0.814  0.00
Rh: 0.335 0.335 0.742  0.56
Rh: 0.634 0.634 0.288  0.49
O: 0.122 0.634 0.776  0.14
O: 0.801 0.344 0.193  0.05
O: 0.344 0.801 0.193  0.05
O: 0.634 0.122 0.776  0.14
O: 0.735 0.735 0.458  0.23

Values from the calculation:
space group: Cm, No. 8
E_form (uncorrected): -935.0 meV per atom
V: 23.142 Å³ per atom
DFT total energy: -0.362 Ry/atom
DOS(E_F): 0.51 states/eV per atom


Question: What is the formula in the fifth record?
Answer: K3ZnRe2O9


What did the sixth record say?
This record from Alexandria via LeMat-Bulk describes an optimized crystal structure of KZn2ReO6. The functional is GGA-PBE.

abc: 6.856 7.423 7.423
angles: 93.66 72.44 72.44
Fractional coordinates of all 20 atoms:
K: 0.250 0.817 0.183
K: 0.750 0.183 0.817
Zn: 0.301 0.645 0.600
Zn: 0.199 0.400 0.355
Zn: 0.699 0.355 0.400
Zn: 0.801 0.600 0.645
Re: 0.250 0.173 0.827
Re: 0.750 0.827 0.173
O: 0.181 0.964 0.806
O: 0.319 0.194 0.036
O: 0.819 0.036 0.194
O: 0.681 0.806 0.964
O: 0.525 0.839 0.370
O: 0.975 0.630 0.161
O: 0.475 0.161 0.630
O: 0.025 0.370 0.839
O: 0.038 0.687 0.551
O: 0.462 0.449 0.313
O: 0.962 0.313 0.449
O: 0.538 0.551 0.687

Values from the calculation:
space group: C2/c, No. 15
E_form (uncorrected): -1470.4 meV per atom
V: 16.915 Å³ per atom
DFT total energy: -0.445 Ry/atom
DOS(E_F): 0.00 states/eV per atom


Question: Which value of DFT total energy does entry 9 give?
Answer: -0.354 Ry/atom


Question: E_form (uncorrected) of number 4 (K3Y3ReO8)?
Answer: -2442.6 meV per atom